Below is a relaxed structure of BeRePb3, with properties calculated at the PBE level.

As for the energy above the most stable polymorph in this dataset: 0 meV per atom. As for the formation energy: 1036 meV per atom. The calculation puts the total magnetization at 0.00 μB per formula unit. The space-group type is Pm-3m (221).

abc: 5.351 5.351 5.351
angles: 90.00 90.00 90.00
Element x y z (fractional)
Pb 0.000 0.500 0.000
Pb 0.000 0.000 0.500
Pb 0.500 0.000 0.000
Re 0.000 0.000 0.000
Be 0.500 0.500 0.500



Below is a relaxed structure of BeRePb3, with properties calculated at the PBE level.

As for the energy above the most stable polymorph in this dataset: 281 meV per atom. As for the formation energy: 1317 meV per atom. The calculation puts the total magnetization at 3.13 μB per formula unit. The space-group type is Pm-3m (221).

abc: 5.010 5.010 5.010
angles: 90.00 90.00 90.00
Each line ends with the local moment (μB).
Element x y z (fractional)
Pb 0.000 0.500 0.000  -0.05
Pb 0.000 0.000 0.500  -0.02
Pb 0.500 0.000 0.000  -0.05
Re 0.500 0.500 0.500  2.83
Be 0.000 0.000 0.000  0.02



In states/eV/f.u., the N(E_F) values for the records above are, in order, 5.49; 3.38.